1.
Compound: K3SnO4
Source: Alexandria
Functional: PBE
Structure: relaxed

The structure in POSCAR format:
```
K3SnO4
1.0
6.4759 0.0831 0.0547
-3.1169 5.6771 -0.0547
-2.8419 -2.2022 5.3871
K O Sn
3 4 1
Cartesian
0.5394 -0.3145 3.9953
0.2914 -0.1699 0.4364
0.0874 3.8085 1.5559
-2.6553 3.4838 1.8904
-1.2414 0.7239 2.4798
2.1362 0.6784 1.9451
-3.5730 2.0836 4.5663
-2.9398 1.7144 2.7254
```

calculated density = 2.5 g/cm3
ΔE_f (raw) = -1.257 eV/atom
N(E_F) = 0.866 states/eV per atom
energy = -4.648 eV per atom
M_tot = 1.02 Bohr magnetons per cell


2.
Compound: CeMgBeH6
Source: Alexandria
Functional: PBE
Structure: relaxed

The structure in POSCAR format:
```
CeMgBeH6
1.0
4.4168 0.0000 -0.0035
2.2084 3.8251 -0.0028
-0.0019 -0.0011 4.5415
H Be Ce Mg
6 1 1 1
Cartesian
1.2132 1.8484 3.4864
3.1994 1.8457 3.4788
2.2041 0.1270 3.4853
3.2016 1.8499 1.0490
1.2153 1.8473 1.0567
2.2107 0.1286 1.0556
2.2073 1.2745 2.2686
4.4148 -0.0011 4.5380
4.4157 2.5495 2.2665
```

calculated density = 3.9 g/cm3
N(E_F) = 0.644 states/eV per atom
energy = -3.641 eV per atom
M_tot = 0.70 Bohr magnetons per cell


3.
Compound: Ca2SbO
Source: Alexandria
Functional: PBE
Structure: relaxed

The structure in POSCAR format:
```
Ca2SbO
1.0
-5.2022 -4.2158 -1.9269
3.7576 -2.1397 -5.4635
0.9122 -6.2602 -1.3638
Ca O Sb
4 2 2
Cartesian
-1.0117 -10.0102 -6.8615
-1.9556 -3.9828 -2.0067
0.5744 -7.3244 -4.4223
1.3284 -3.9139 -4.2180
1.9738 -5.7888 -5.2613
-0.7223 -3.1777 -3.6952
0.0000 0.0000 0.0000
-2.5061 -6.8268 -3.4929
```

calculated density = 3.6 g/cm3
energy above the most stable polymorph in this dataset = 0.1561 eV per atom
ΔE_f (raw) = -1.690 eV/atom
N(E_F) = 0.333 states/eV per atom
energy = -4.961 eV per atom
M_tot = 1.98 Bohr magnetons per cell


4.
Compound: NaCdBPd2
Source: Alexandria
Functional: PBE
Structure: relaxed

The structure in POSCAR format:
```
NaCdBPd2
1.0
4.2488 0.0000 0.0000
0.0000 4.2488 0.0000
0.0000 0.0000 4.5887
B Pd Cd Na
1 2 1 1
Cartesian
0.0000 0.0000 0.0000
0.0000 2.1244 0.0000
2.1244 0.0000 0.0000
0.0000 0.0000 2.2943
2.1244 2.1244 2.2943
```

ΔH_f (0 K) = -0.41 eV/f.u.
calculated density = 7.2 g/cm3
N(E_F) = 0.475 states/eV per atom
energy = -3.941 eV per atom
M_tot = 0.00 Bohr magnetons per cell


5.
Compound: KCa2Co
Source: Alexandria
Functional: PBE
Structure: relaxed

The structure in POSCAR format:
```
KCa2Co
1.0
5.2868 -0.3320 -0.0512
4.2242 3.1963 -0.0512
2.6567 0.8001 8.2020
Co Ca K
1 2 1
Cartesian
6.7433 2.0308 5.3598
2.4447 0.7362 7.4587
9.3899 2.8278 5.1114
2.3304 0.7018 2.4214
```

ΔH_f (0 K) = 1.79 eV/f.u.
calculated density = 2.0 g/cm3
energy above the most stable polymorph in this dataset = 0.1572 eV per atom
N(E_F) = 1.466 states/eV per atom
energy = -2.604 eV per atom
M_tot = 0.57 Bohr magnetons per cell


6.
Compound: PuZn2Si
Source: Alexandria
Functional: PBE
Structure: relaxed

The structure in POSCAR format:
```
PuZn2Si
1.0
3.9347 0.0000 0.0000
0.0000 3.9347 0.0000
0.0000 0.0000 9.8187
Si Zn Pu
2 4 2
Cartesian
1.9673 0.0000 6.5421
0.0000 1.9673 3.2766
0.0000 1.9673 0.6526
1.9673 0.0000 9.1661
1.9673 1.9673 4.9094
0.0000 0.0000 4.9094
1.9673 0.0000 2.3053
0.0000 1.9673 7.5134
```

calculated density = 8.8 g/cm3
energy above the most stable polymorph in this dataset = 0.0000 eV per atom
ΔE_f (raw) = -0.158 eV/atom
N(E_F) = 2.309 states/eV per atom
energy = -5.734 eV per atom
M_tot = 11.70 Bohr magnetons per cell


7.
Compound: Ti2ZnNi6
Source: Alexandria
Functional: PBE
Structure: relaxed

The structure in POSCAR format:
```
Ti2ZnNi6
1.0
2.5688 0.0000 -0.0847
0.0000 7.5673 0.0000
-1.1164 -3.7836 5.7661
Ni Ti Zn
6 2 1
Cartesian
1.2844 2.3159 -0.0424
1.2844 5.2514 -0.0424
0.0513 1.2860 2.0229
1.4010 2.4976 3.6586
1.4010 5.0697 3.6586
0.0513 -1.2860 2.0229
1.3941 0.0000 3.9162
0.0583 3.7836 1.7653
0.0000 0.0000 0.0000
```

ΔH_f (0 K) = -1.84 eV/f.u.
calculated density = 7.7 g/cm3
energy above the most stable polymorph in this dataset = 0.0069 eV per atom
N(E_F) = 0.889 states/eV per atom
energy = -5.955 eV per atom
M_tot = 0.00 Bohr magnetons per cell


8.
Compound: Sr2SiIr
Source: Alexandria
Functional: PBE
Structure: relaxed

The structure in POSCAR format:
```
Sr2SiIr
1.0
4.7873 0.5162 0.0061
-0.5170 4.7872 0.0061
-0.0045 -0.0056 4.2025
Ir Sr Si
1 2 1
Cartesian
2.3914 0.2553 2.1043
2.1352 2.6517 0.0061
0.0000 0.0000 0.0000
-0.2607 2.3908 2.1043
```

calculated density = 6.7 g/cm3
ΔE_f (raw) = 0.047 eV/atom
N(E_F) = 0.828 states/eV per atom
energy = -4.365 eV per atom
M_tot = 0.00 Bohr magnetons per cell